1.
## Sc2WI (PBE)

Data for a relaxed structure of Sc2WI.

```
4
Lattice="5.7499 8.1510 2.1005 8.0404 6.2091 0.8424 6.1855 8.0242 -1.1236" Properties=species:S:1:pos:R:3 pbc="T T T"
Sc 1.7542 1.9657 0.1598
W 0.0000 0.0000 0.0000
I 9.9879 11.1922 0.9096
Sc 18.2216 20.4186 1.6595
```

## Properties
As for the density of states at the Fermi level: 3.1 states/eV/cell. As for the crystal system: trigonal. As for the total magnetization: 0.66 μB per formula unit. The calculation puts the polymorph energy (0 for the lowest one) at 380 meV/atom. The calculation puts the raw formation energy at 689 meV per atom. As for the volume: 92.0 Å³ per cell. Its space group is No. 166.

---

2.
## La2AlRu (PBE)

Data for a relaxed structure of La2AlRu.

```
8
Lattice="-5.1165 -6.3634 -1.8181 1.1279 -3.1030 7.6862 -4.3253 -3.1404 3.9191" Properties=species:S:1:pos:R:3 pbc="T T T"
La -0.6790 -3.1009 5.6761
Ru 0.0000 0.0000 0.0000
Ru -5.7181 -7.1185 2.5175
Al -1.9943 -4.7332 2.9340
La -4.4751 -5.5691 0.6845
La -6.6597 -10.8427 8.5800
Al -2.5958 -5.4883 7.2697
La -4.8140 -5.7009 4.6337
```

## Properties
As for the density of states at the Fermi level: 10.0 states/eV/cell. As for the crystal system: tetragonal. As for the total magnetization: 0.00 μB per formula unit. For the formation energy, the calculation gives -0.025 eV/atom. As for the volume: 209.2 Å³ per cell. Its space group is No. 122.

---

3.
## FeNi2W (PBE)

Data for a relaxed structure of FeNi2W.

```
4
Lattice="4.1037 0.0000 0.0000 2.0518 3.5539 0.0000 2.0518 1.1846 3.3506" Properties=species:S:1:pos:R:3 pbc="T T T"
Ni 2.0518 1.1846 0.8377
W 6.1555 3.5539 2.5130
Fe 4.1037 2.3692 1.6753
Ni 0.0000 0.0000 0.0000
```

## Properties
As for the density of states at the Fermi level: 5.7 states/eV/cell. As for the crystal system: cubic. As for the total magnetization: 1.50 μB per formula unit. For the formation energy, the calculation gives 0.104 eV/atom. The calculation puts the polymorph energy (0 for the lowest one) at 122 meV/atom. As for the volume: 48.9 Å³ per cell. Its space group is No. 216.

---

4.
## CsK3B (PBE)

Data for a relaxed structure of CsK3B.

```
5
Lattice="8.1005 0.0000 0.0000 0.0000 8.1005 0.0000 0.0000 0.0000 8.1005" Properties=species:S:1:pos:R:3 pbc="T T T"
K 4.0503 0.0000 0.0000
Cs 0.0000 0.0000 0.0000
B 4.0503 4.0503 4.0503
K 0.0000 4.0503 0.0000
K 0.0000 0.0000 4.0503
```

## Properties
As for the density of states at the Fermi level: 16.1 states/eV/cell. As for the crystal system: cubic. As for the total magnetization: 1.55 μB per formula unit. For the formation energy, the calculation gives 1.458 eV/atom. The calculation puts the polymorph energy (0 for the lowest one) at 734 meV/atom. As for the volume: 531.5 Å³ per cell. Its space group is No. 221.

---

5.
## K2IrPt (PBE)

Data for a relaxed structure of K2IrPt.

```
8
Lattice="-4.7281 11.0867 2.1285 -4.6392 -4.0119 10.5917 -2.6582 4.1839 7.4921" Properties=species:S:1:pos:R:3 pbc="T T T"
Ir -4.6836 3.5374 6.3601
Pt 0.0000 0.0000 0.0000
K -5.3105 10.0787 5.0274
K -7.7722 8.4061 10.3873
Ir -5.9905 1.8547 12.2219
K -6.6409 12.3976 8.6462
K -4.4163 6.7336 7.9005
Pt -6.0350 9.4040 7.9904
```

## Properties
As for the density of states at the Fermi level: 7.3 states/eV/cell. As for the crystal system: tetragonal. As for the total magnetization: 0.02 μB per formula unit. For the formation energy, the calculation gives 0.554 eV/atom. The calculation puts the polymorph energy (0 for the lowest one) at 315 meV/atom. As for the volume: 360.8 Å³ per cell. Its space group is No. 122.

---

6.
## Si3AgPt3 (PBE)

Data for a relaxed structure of Si3AgPt3.

```
14
Lattice="-2.1591 1.4266 6.1001 4.2383 -4.4188 2.5335 4.6134 4.7272 0.5273" Properties=species:S:1:pos:R:3 pbc="T T T"
Si 2.0992 -2.6008 4.9502
Si 3.2725 -1.0276 1.3986
Pt 5.4854 -0.9505 2.1638
Pt 2.3805 4.2587 3.4455
Si 5.5792 1.3360 1.6622
Pt 3.3663 1.2589 0.8970
Pt 1.5794 -1.8528 2.7918
Pt 0.4999 -1.1394 5.8418
Ag 3.3463 0.8675 4.5805
Si -0.0199 -0.3914 3.6834
Ag 0.0000 0.0000 0.0000
Si 0.6874 3.4336 4.8387
Si 1.7669 2.7203 1.7887
Pt 0.0738 1.8951 3.1819
```

## Properties
As for the density of states at the Fermi level: 5.3 states/eV/cell. As for the crystal system: cubic. As for the total magnetization: 0.00 μB per formula unit. The calculation puts the raw formation energy at -166 meV per atom. As for the volume: 290.9 Å³ per cell. Its space group is No. 223.

---

Record-wise energy values, in eV/cell: -24.4 -45.9 -32.6 -3.5 -29.8 -76.8